Entry 1:
## Pa2Zn16Ir (PBE)

Data for a relaxed Pa2Zn16Ir crystal.

Formation energy from the elements: -2.99 eV per formula unit
Density: 9.3 g/cm³
Raw total energy: -2.696 eV/atom

```
data_Pa2Zn16Ir
_chemical_formula_sum 'Pa2 Zn16 Ir1'
_cell_length_a 6.773
_cell_length_b 6.773
_cell_length_c 6.773
_cell_angle_alpha 83.07
_cell_angle_beta 83.07
_cell_angle_gamma 83.07
_space_group_name_H-M_alt 'P 1'
_space_group_IT_number 1
_space_group_name_Hall 'P 1'
loop_
_atom_site_label
_atom_site_type_symbol
_atom_site_fract_x
_atom_site_fract_y
_atom_site_fract_z
Pa1 Pa 0.000 0.000 0.000
Pa2 Pa 0.333 0.333 0.333
Zn1 Zn 0.027 0.027 0.516
Zn2 Zn 0.027 0.516 0.027
Zn3 Zn 0.178 0.671 0.671
Zn4 Zn 0.316 0.316 0.835
Zn5 Zn 0.316 0.835 0.316
Zn6 Zn 0.386 0.676 0.964
Zn7 Zn 0.386 0.964 0.676
Zn8 Zn 0.516 0.027 0.027
Zn9 Zn 0.575 0.575 0.575
Zn10 Zn 0.671 0.178 0.671
Zn11 Zn 0.671 0.671 0.178
Zn12 Zn 0.676 0.386 0.964
Zn13 Zn 0.676 0.964 0.386
Zn14 Zn 0.835 0.316 0.316
Zn15 Zn 0.964 0.386 0.676
Zn16 Zn 0.964 0.676 0.386
Ir1 Ir 0.792 0.792 0.792
```

Entry 2:
## PaZn4Ir2 (PBE)

Data for a relaxed PaZn4Ir2 crystal.

Formation energy from the elements: -3.06 eV per formula unit
Density: 12.0 g/cm³
Raw total energy: -5.053 eV/atom

```
data_PaZn4Ir2
_chemical_formula_sum 'Pa2 Zn8 Ir4'
_cell_length_a 8.005
_cell_length_b 8.005
_cell_length_c 3.776
_cell_angle_alpha 90.00
_cell_angle_beta 90.00
_cell_angle_gamma 90.00
_space_group_name_H-M_alt 'P 1'
_space_group_IT_number 1
_space_group_name_Hall 'P 1'
loop_
_atom_site_label
_atom_site_type_symbol
_atom_site_fract_x
_atom_site_fract_y
_atom_site_fract_z
Pa1 Pa 0.000 0.000 0.000
Pa2 Pa 0.500 0.500 0.500
Zn1 Zn 0.099 0.349 0.500
Zn2 Zn 0.151 0.599 0.000
Zn3 Zn 0.349 0.099 0.500
Zn4 Zn 0.401 0.849 0.000
Zn5 Zn 0.599 0.151 0.000
Zn6 Zn 0.651 0.901 0.500
Zn7 Zn 0.849 0.401 0.000
Zn8 Zn 0.901 0.651 0.500
Ir1 Ir 0.174 0.826 0.500
Ir2 Ir 0.326 0.326 0.000
Ir3 Ir 0.674 0.674 0.000
Ir4 Ir 0.826 0.174 0.500
```

Entry 3:
## Pa3Zn4Ir4 (PBE)

Data for a relaxed Pa3Zn4Ir4 crystal.

Formation energy from the elements: -6.20 eV per formula unit
Density: 13.9 g/cm³
Raw total energy: -6.839 eV/atom

```
data_Pa3Zn4Ir4
_chemical_formula_sum 'Pa3 Zn4 Ir4'
_cell_length_a 8.276
_cell_length_b 8.276
_cell_length_c 8.276
_cell_angle_alpha 153.50
_cell_angle_beta 124.97
_cell_angle_gamma 62.09
_space_group_name_H-M_alt 'P 1'
_space_group_IT_number 1
_space_group_name_Hall 'P 1'
loop_
_atom_site_label
_atom_site_type_symbol
_atom_site_fract_x
_atom_site_fract_y
_atom_site_fract_z
Pa1 Pa 0.000 0.000 0.000
Pa2 Pa 0.376 0.876 0.500
Pa3 Pa 0.624 0.124 0.500
Zn1 Zn 0.022 0.325 0.697
Zn2 Zn 0.373 0.675 0.697
Zn3 Zn 0.627 0.325 0.303
Zn4 Zn 0.978 0.675 0.303
Ir1 Ir 0.232 0.232 0.000
Ir2 Ir 0.290 0.500 0.790
Ir3 Ir 0.710 0.500 0.210
Ir4 Ir 0.768 0.768 0.000
```

Entry 4:
## PaZn2Ir2 (PBE)

Data for a relaxed PaZn2Ir2 crystal.

Formation energy from the elements: -2.04 eV per formula unit
Density: 14.4 g/cm³
Raw total energy: -6.360 eV/atom

```
data_PaZn2Ir2
_chemical_formula_sum 'Pa1 Zn2 Ir2'
_cell_length_a 4.068
_cell_length_b 4.997
_cell_length_c 5.011
_cell_angle_alpha 82.50
_cell_angle_beta 66.80
_cell_angle_gamma 66.60
_space_group_name_H-M_alt 'P 1'
_space_group_IT_number 1
_space_group_name_Hall 'P 1'
loop_
_atom_site_label
_atom_site_type_symbol
_atom_site_fract_x
_atom_site_fract_y
_atom_site_fract_z
Pa1 Pa 0.000 0.000 0.000
Zn1 Zn 0.436 0.392 0.744
Zn2 Zn 0.564 0.608 0.256
Ir1 Ir 0.211 0.207 0.368
Ir2 Ir 0.789 0.793 0.632
```

Entry 5:
## ZrPaIr (PBE)

Data for a relaxed ZrPaIr crystal.

Formation energy from the elements: -1.35 eV per formula unit
Density: 13.4 g/cm³
Raw total energy: -9.418 eV/atom

```
data_ZrPaIr
_chemical_formula_sum 'Zr1 Pa1 Ir1'
_cell_length_a 5.601
_cell_length_b 5.601
_cell_length_c 5.601
_cell_angle_alpha 142.81
_cell_angle_beta 142.81
_cell_angle_gamma 53.61
_space_group_name_H-M_alt 'P 1'
_space_group_IT_number 1
_space_group_name_Hall 'P 1'
loop_
_atom_site_label
_atom_site_type_symbol
_atom_site_fract_x
_atom_site_fract_y
_atom_site_fract_z
Zr1 Zr 0.000 0.000 0.000
Pa1 Pa 0.696 0.696 0.000
Ir1 Ir 0.325 0.325 0.000
```

Entry 6:
## Zr2PaIr (PBE)

Data for a relaxed Zr2PaIr crystal.

Formation energy from the elements: -1.39 eV per formula unit
Density: 11.8 g/cm³
Raw total energy: -9.211 eV/atom
Distance to the lowest polymorph of the same formula: 0.0 meV per atom

```
data_Zr2PaIr
_chemical_formula_sum 'Zr2 Pa1 Ir1'
_cell_length_a 3.351
_cell_length_b 3.351
_cell_length_c 7.569
_cell_angle_alpha 90.00
_cell_angle_beta 90.00
_cell_angle_gamma 90.00
_space_group_name_H-M_alt 'P 1'
_space_group_IT_number 1
_space_group_name_Hall 'P 1'
loop_
_atom_site_label
_atom_site_type_symbol
_atom_site_fract_x
_atom_site_fract_y
_atom_site_fract_z
Zr1 Zr 0.000 0.000 0.215
Zr2 Zr 0.000 0.000 0.785
Pa1 Pa 0.500 0.500 0.500
Ir1 Ir 0.500 0.500 0.000
```

Entry 7:
## ZrPa2Ir (PBE)

Data for a relaxed ZrPa2Ir crystal.

Formation energy from the elements: 0.36 eV per formula unit
Density: 14.0 g/cm³
Raw total energy: -9.011 eV/atom

```
data_ZrPa2Ir
_chemical_formula_sum 'Zr1 Pa2 Ir1'
_cell_length_a 10.906
_cell_length_b 10.906
_cell_length_c 10.906
_cell_angle_alpha 16.25
_cell_angle_beta 16.25
_cell_angle_gamma 16.25
_space_group_name_H-M_alt 'P 1'
_space_group_IT_number 1
_space_group_name_Hall 'P 1'
loop_
_atom_site_label
_atom_site_type_symbol
_atom_site_fract_x
_atom_site_fract_y
_atom_site_fract_z
Zr1 Zr 0.000 0.000 0.000
Pa1 Pa 0.093 0.093 0.093
Pa2 Pa 0.907 0.907 0.907
Ir1 Ir 0.500 0.500 0.500
```

Entry 8:
## Zr2PaIr (PBE)

Data for a relaxed Zr2PaIr crystal.

Formation energy from the elements: -0.91 eV per formula unit
Density: 12.6 g/cm³
Raw total energy: -9.091 eV/atom
Distance to the lowest polymorph of the same formula: 120.4 meV per atom

```
data_Zr2PaIr
_chemical_formula_sum 'Zr2 Pa1 Ir1'
_cell_length_a 4.837
_cell_length_b 4.837
_cell_length_c 4.837
_cell_angle_alpha 60.00
_cell_angle_beta 60.00
_cell_angle_gamma 60.00
_space_group_name_H-M_alt 'P 1'
_space_group_IT_number 1
_space_group_name_Hall 'P 1'
loop_
_atom_site_label
_atom_site_type_symbol
_atom_site_fract_x
_atom_site_fract_y
_atom_site_fract_z
Zr1 Zr 0.250 0.250 0.250
Zr2 Zr 0.750 0.750 0.750
Pa1 Pa 0.000 0.000 0.000
Ir1 Ir 0.500 0.500 0.500
```

Entry 9:
## Ir2Pb (PBE)

Data for a relaxed Ir2Pb crystal.

Formation energy from the elements: 0.97 eV per formula unit
Density: 15.8 g/cm³
Raw total energy: -6.821 eV/atom
Distance to the lowest polymorph of the same formula: 0.0 meV per atom

```
data_Ir2Pb
_chemical_formula_sum 'Ir4 Pb2'
_cell_length_a 9.973
_cell_length_b 9.973
_cell_length_c 4.311
_cell_angle_alpha 90.00
_cell_angle_beta 90.00
_cell_angle_gamma 163.19
_space_group_name_H-M_alt 'P 1'
_space_group_IT_number 1
_space_group_name_Hall 'P 1'
loop_
_atom_site_label
_atom_site_type_symbol
_atom_site_fract_x
_atom_site_fract_y
_atom_site_fract_z
Ir1 Ir 0.041 0.959 0.750
Ir2 Ir 0.422 0.578 0.750
Ir3 Ir 0.578 0.422 0.250
Ir4 Ir 0.959 0.041 0.250
Pb1 Pb 0.325 0.675 0.250
Pb2 Pb 0.675 0.325 0.750
```

Entry 10:
## IrPb4 (PBE)

Data for a relaxed IrPb4 crystal.

Formation energy from the elements: 3.73 eV per formula unit
Density: 11.2 g/cm³
Raw total energy: -3.993 eV/atom

```
data_IrPb4
_chemical_formula_sum 'Ir1 Pb4'
_cell_length_a 9.651
_cell_length_b 9.651
_cell_length_c 9.651
_cell_angle_alpha 155.77
_cell_angle_beta 155.77
_cell_angle_gamma 34.53
_space_group_name_H-M_alt 'P 1'
_space_group_IT_number 1
_space_group_name_Hall 'P 1'
loop_
_atom_site_label
_atom_site_type_symbol
_atom_site_fract_x
_atom_site_fract_y
_atom_site_fract_z
Ir1 Ir 0.000 0.000 0.000
Pb1 Pb 0.250 0.750 0.500
Pb2 Pb 0.418 0.418 0.000
Pb3 Pb 0.582 0.582 0.000
Pb4 Pb 0.750 0.250 0.500
```

Entry 11:
## IrPb3 (PBE)

Data for a relaxed IrPb3 crystal.

Formation energy from the elements: 1.01 eV per formula unit
Density: 12.7 g/cm³
Raw total energy: -4.743 eV/atom
Distance to the lowest polymorph of the same formula: 22.5 meV per atom

```
data_IrPb3
_chemical_formula_sum 'Ir1 Pb3'
_cell_length_a 7.214
_cell_length_b 7.214
_cell_length_c 7.214
_cell_angle_alpha 152.32
_cell_angle_beta 142.13
_cell_angle_gamma 47.55
_space_group_name_H-M_alt 'P 1'
_space_group_IT_number 1
_space_group_name_Hall 'P 1'
loop_
_atom_site_label
_atom_site_type_symbol
_atom_site_fract_x
_atom_site_fract_y
_atom_site_fract_z
Ir1 Ir 0.000 0.000 0.000
Pb1 Pb 0.181 0.681 0.500
Pb2 Pb 0.500 0.500 0.000
Pb3 Pb 0.819 0.319 0.500
```

Entry 12:
## Ir2Pb (PBE)

Data for a relaxed Ir2Pb crystal.

Formation energy from the elements: 2.91 eV per formula unit
Density: 14.2 g/cm³
Raw total energy: -6.175 eV/atom
Distance to the lowest polymorph of the same formula: 645.6 meV per atom

```
data_Ir2Pb
_chemical_formula_sum 'Ir4 Pb2'
_cell_length_a 4.379
_cell_length_b 6.204
_cell_length_c 5.077
_cell_angle_alpha 90.00
_cell_angle_beta 90.00
_cell_angle_gamma 90.00
_space_group_name_H-M_alt 'P 1'
_space_group_IT_number 1
_space_group_name_Hall 'P 1'
loop_
_atom_site_label
_atom_site_type_symbol
_atom_site_fract_x
_atom_site_fract_y
_atom_site_fract_z
Ir1 Ir 0.242 0.085 0.000
Ir2 Ir 0.258 0.585 0.500
Ir3 Ir 0.742 0.415 0.500
Ir4 Ir 0.758 0.915 0.000
Pb1 Pb 0.000 0.500 0.000
Pb2 Pb 0.500 0.000 0.500
```

Entry 13:
## IrPb3 (PBE)

Data for a relaxed IrPb3 crystal.

Formation energy from the elements: 0.92 eV per formula unit
Density: 12.6 g/cm³
Raw total energy: -4.766 eV/atom
Distance to the lowest polymorph of the same formula: 0.0 meV per atom

```
data_IrPb3
_chemical_formula_sum 'Ir1 Pb3'
_cell_length_a 5.864
_cell_length_b 5.864
_cell_length_c 5.864
_cell_angle_alpha 142.28
_cell_angle_beta 75.98
_cell_angle_gamma 116.83
_space_group_name_H-M_alt 'P 1'
_space_group_IT_number 1
_space_group_name_Hall 'P 1'
loop_
_atom_site_label
_atom_site_type_symbol
_atom_site_fract_x
_atom_site_fract_y
_atom_site_fract_z
Ir1 Ir 0.000 0.000 0.000
Pb1 Pb 0.332 0.832 0.500
Pb2 Pb 0.603 0.290 0.312
Pb3 Pb 0.978 0.290 0.688
```

Entry 14:
## Ir5Pb4 (PBE)

Data for a relaxed Ir5Pb4 crystal.

Formation energy from the elements: 4.45 eV per formula unit
Density: 16.7 g/cm³
Raw total energy: -6.076 eV/atom

```
data_Ir5Pb4
_chemical_formula_sum 'Ir5 Pb4'
_cell_length_a 6.906
_cell_length_b 6.906
_cell_length_c 6.906
_cell_angle_alpha 95.05
_cell_angle_beta 95.05
_cell_angle_gamma 145.49
_space_group_name_H-M_alt 'P 1'
_space_group_IT_number 1
_space_group_name_Hall 'P 1'
loop_
_atom_site_label
_atom_site_type_symbol
_atom_site_fract_x
_atom_site_fract_y
_atom_site_fract_z
Ir1 Ir 0.000 0.000 0.000
Ir2 Ir 0.344 0.344 0.689
Ir3 Ir 0.344 0.656 0.000
Ir4 Ir 0.656 0.344 0.000
Ir5 Ir 0.656 0.656 0.311
Pb1 Pb 0.000 0.301 0.301
Pb2 Pb 0.000 0.699 0.699
Pb3 Pb 0.301 0.000 0.301
Pb4 Pb 0.699 0.000 0.699
```

Entry 15:
## IrPb4 (PBE)

Data for a relaxed IrPb4 crystal.

Formation energy from the elements: 1.33 eV per formula unit
Density: 11.0 g/cm³
Raw total energy: -4.474 eV/atom

```
data_IrPb4
_chemical_formula_sum 'Ir1 Pb4'
_cell_length_a 5.369
_cell_length_b 5.369
_cell_length_c 5.369
_cell_angle_alpha 90.00
_cell_angle_beta 90.00
_cell_angle_gamma 90.00
_space_group_name_H-M_alt 'P 1'
_space_group_IT_number 1
_space_group_name_Hall 'P 1'
loop_
_atom_site_label
_atom_site_type_symbol
_atom_site_fract_x
_atom_site_fract_y
_atom_site_fract_z
Ir1 Ir 0.000 0.000 0.000
Pb1 Pb 0.000 0.000 0.500
Pb2 Pb 0.000 0.500 0.000
Pb3 Pb 0.500 0.000 0.000
Pb4 Pb 0.500 0.500 0.500
```

Entry 16:
## IrPb3 (PBE)

Data for a relaxed IrPb3 crystal.

Formation energy from the elements: 2.36 eV per formula unit
Density: 13.4 g/cm³
Raw total energy: -4.407 eV/atom
Distance to the lowest polymorph of the same formula: 359.3 meV per atom

```
data_IrPb3
_chemical_formula_sum 'Ir1 Pb3'
_cell_length_a 5.996
_cell_length_b 5.996
_cell_length_c 5.996
_cell_angle_alpha 116.61
_cell_angle_beta 116.61
_cell_angle_gamma 116.61
_space_group_name_H-M_alt 'P 1'
_space_group_IT_number 1
_space_group_name_Hall 'P 1'
loop_
_atom_site_label
_atom_site_type_symbol
_atom_site_fract_x
_atom_site_fract_y
_atom_site_fract_z
Ir1 Ir 0.000 0.000 0.000
Pb1 Pb 0.000 0.500 0.500
Pb2 Pb 0.500 0.000 0.500
Pb3 Pb 0.500 0.500 0.000
```

Entry 17:
## Ir5Pb (PBE)

Data for a relaxed Ir5Pb crystal.

Formation energy from the elements: 2.23 eV per formula unit
Density: 19.6 g/cm³
Raw total energy: -7.631 eV/atom

```
data_Ir5Pb
_chemical_formula_sum 'Ir5 Pb1'
_cell_length_a 5.257
_cell_length_b 5.257
_cell_length_c 6.943
_cell_angle_alpha 92.13
_cell_angle_beta 92.13
_cell_angle_gamma 31.15
_space_group_name_H-M_alt 'P 1'
_space_group_IT_number 1
_space_group_name_Hall 'P 1'
loop_
_atom_site_label
_atom_site_type_symbol
_atom_site_fract_x
_atom_site_fract_y
_atom_site_fract_z
Ir1 Ir 0.000 0.000 0.000
Ir2 Ir 0.114 0.114 0.641
Ir3 Ir 0.392 0.392 0.696
Ir4 Ir 0.502 0.502 0.338
Ir5 Ir 0.770 0.770 0.411
Pb1 Pb 0.735 0.735 0.014
```

Entry 18:
## Ir2Pb (PBE)

Data for a relaxed Ir2Pb crystal.

Formation energy from the elements: 1.18 eV per formula unit
Density: 16.6 g/cm³
Raw total energy: -6.750 eV/atom
Distance to the lowest polymorph of the same formula: 70.2 meV per atom

```
data_Ir2Pb
_chemical_formula_sum 'Ir4 Pb2'
_cell_length_a 5.735
_cell_length_b 5.735
_cell_length_c 5.735
_cell_angle_alpha 126.31
_cell_angle_beta 126.31
_cell_angle_gamma 79.37
_space_group_name_H-M_alt 'P 1'
_space_group_IT_number 1
_space_group_name_Hall 'P 1'
loop_
_atom_site_label
_atom_site_type_symbol
_atom_site_fract_x
_atom_site_fract_y
_atom_site_fract_z
Ir1 Ir 0.180 0.680 0.860
Ir2 Ir 0.320 0.180 0.500
Ir3 Ir 0.680 0.820 0.500
Ir4 Ir 0.820 0.320 0.140
Pb1 Pb 0.250 0.250 0.000
Pb2 Pb 0.750 0.750 0.000
```

Entry 19:
## IrPb5 (PBE)

Data for a relaxed IrPb5 crystal.

Formation energy from the elements: 4.31 eV per formula unit
Density: 11.6 g/cm³
Raw total energy: -3.848 eV/atom
Distance to the lowest polymorph of the same formula: 577.1 meV per atom

```
data_IrPb5
_chemical_formula_sum 'Ir1 Pb5'
_cell_length_a 6.297
_cell_length_b 6.297
_cell_length_c 6.297
_cell_angle_alpha 60.00
_cell_angle_beta 60.00
_cell_angle_gamma 60.00
_space_group_name_H-M_alt 'P 1'
_space_group_IT_number 1
_space_group_name_Hall 'P 1'
loop_
_atom_site_label
_atom_site_type_symbol
_atom_site_fract_x
_atom_site_fract_y
_atom_site_fract_z
Ir1 Ir 0.000 0.000 0.000
Pb1 Pb 0.374 0.374 0.374
Pb2 Pb 0.374 0.374 0.877
Pb3 Pb 0.374 0.877 0.374
Pb4 Pb 0.750 0.750 0.750
Pb5 Pb 0.877 0.374 0.374
```

Entry 20:
## IrPb3 (PBE)

Data for a relaxed IrPb3 crystal.

Formation energy from the elements: 2.12 eV per formula unit
Density: 13.6 g/cm³
Raw total energy: -4.466 eV/atom
Distance to the lowest polymorph of the same formula: 299.6 meV per atom

```
data_IrPb3
_chemical_formula_sum 'Ir1 Pb3'
_cell_length_a 5.422
_cell_length_b 5.422
_cell_length_c 3.491
_cell_angle_alpha 90.00
_cell_angle_beta 90.00
_cell_angle_gamma 103.79
_space_group_name_H-M_alt 'P 1'
_space_group_IT_number 1
_space_group_name_Hall 'P 1'
loop_
_atom_site_label
_atom_site_type_symbol
_atom_site_fract_x
_atom_site_fract_y
_atom_site_fract_z
Ir1 Ir 0.000 0.000 0.000
Pb1 Pb 0.000 0.500 0.500
Pb2 Pb 0.500 0.000 0.500
Pb3 Pb 0.500 0.500 0.000
```